#w
SrAsRuSe2 | GGA-PBE | optimized geometry

POSCAR file:
```
SrAsRuSe2
1.0
-1.794 4.194 2.543
-4.904 -1.497 -0.992
-0.060 -2.394 3.906
Ru As Se Sr
1 1 2 1
Direct
0.000 0.000 0.000
0.000 0.000 0.500
0.000 0.500 0.000
0.500 0.000 0.000
0.500 0.500 0.500
```

Results
DOS(E_F), states/eV/cell: 4.56

=====

#x
SrAsRuSe2 | GGA-PBE | optimized geometry

POSCAR file:
```
SrAsRuSe2
1.0
5.618 0.000 0.000
0.000 5.618 0.000
0.000 0.000 5.612
Ru As Se Sr
1 1 2 1
Direct
0.500 0.500 0.500
0.000 0.000 0.500
0.000 0.500 0.000
0.500 0.000 0.000
0.000 0.000 0.000
```

Results
DOS(E_F), states/eV/cell: 7.30

=====

Most stable of them? #w.

=====

#w
SrAs2RuSe | GGA-PBE | optimized geometry

POSCAR file:
```
SrAs2RuSe
1.0
-4.027 -3.816 0.420
2.765 -2.461 4.154
-2.648 3.197 3.656
Ru As Se Sr
1 2 1 1
Direct
0.500 0.500 0.500
0.000 0.500 0.000
0.500 0.000 0.000
0.000 0.000 0.500
0.000 0.000 0.000
```

Results
DOS(E_F), states/eV/cell: 7.65

=====

#x
SrAs2RuSe | GGA-PBE | optimized geometry

POSCAR file:
```
SrAs2RuSe
1.0
5.094 0.000 0.000
0.000 5.499 0.000
0.000 0.000 5.094
Ru As Se Sr
1 2 1 1
Direct
0.500 0.500 0.500
0.000 0.000 0.500
0.500 0.000 0.000
0.000 0.000 0.000
0.000 0.500 0.000
```

Results
DOS(E_F), states/eV/cell: 3.65

=====

#y
SrAs2RuSe | GGA-PBE | optimized geometry

POSCAR file:
```
SrAs2RuSe
1.0
-2.186 4.041 -0.942
0.174 -0.974 -4.584
-5.026 -2.633 0.369
Ru As Se Sr
1 2 1 1
Direct
0.000 0.000 0.000
0.000 0.500 0.000
0.500 0.000 0.000
0.000 0.000 0.500
0.500 0.500 0.500
```

Results
DOS(E_F), states/eV/cell: 4.02

=====

Most stable of them? #y.

=====

#w
TaAsRuSe2 | GGA-PBE | optimized geometry

POSCAR file:
```
TaAsRuSe2
1.0
-3.499 2.886 -2.010
-3.087 -3.878 -0.195
-1.709 1.130 4.597
Ru As Se Ta
1 1 2 1
Direct
0.500 0.500 0.500
0.000 0.000 0.500
0.000 0.500 0.000
0.500 0.000 0.000
0.000 0.000 0.000
```

Results
DOS(E_F), states/eV/cell: 3.18

=====

#x
TaAsRuSe2 | GGA-PBE | optimized geometry

POSCAR file:
```
TaAsRuSe2
1.0
4.821 0.000 0.000
0.000 4.821 0.000
0.000 0.000 4.617
Ru As Se Ta
1 1 2 1
Direct
0.000 0.000 0.000
0.000 0.000 0.500
0.000 0.500 0.000
0.500 0.000 0.000
0.500 0.500 0.500
```

Results
DOS(E_F), states/eV/cell: 7.74

=====

Most stable of them? #w.

=====

#w
TlAsRuSe2 | GGA-PBE | optimized geometry

POSCAR file:
```
TlAsRuSe2
1.0
5.147 0.000 0.000
0.000 5.147 0.000
0.000 0.000 4.644
Ru Tl As Se
1 1 1 2
Direct
0.000 0.000 0.000
0.500 0.500 0.500
0.000 0.000 0.500
0.000 0.500 0.000
0.500 0.000 0.000
```

Results
DOS(E_F), states/eV/cell: 7.12

=====

#x
TlAsRuSe2 | GGA-PBE | optimized geometry

POSCAR file:
```
TlAsRuSe2
1.0
5.333 0.000 0.000
0.000 5.333 0.000
0.000 0.000 5.242
Ru Tl As Se
1 1 1 2
Direct
0.500 0.500 0.500
0.000 0.000 0.000
0.000 0.000 0.500
0.000 0.500 0.000
0.500 0.000 0.000
```

Results
DOS(E_F), states/eV/cell: 7.24

=====

Most stable of them? #w.

=====

#w
VAs2RuSe | GGA-PBE | optimized geometry

POSCAR file:
```
VAs2RuSe
1.0
4.693 0.000 0.000
0.000 4.693 0.000
0.000 0.000 4.678
Ru As Se V
1 2 1 1
Direct
0.500 0.500 0.500
0.000 0.500 0.000
0.500 0.000 0.000
0.000 0.000 0.500
0.000 0.000 0.000
```

Results
DOS(E_F), states/eV/cell: 4.67

=====

#x
VAs2RuSe | GGA-PBE | optimized geometry

POSCAR file:
```
VAs2RuSe
1.0
4.618 0.000 0.000
0.000 4.618 0.000
0.000 0.000 5.268
Ru As Se V
1 2 1 1
Direct
0.000 0.000 0.000
0.000 0.500 0.000
0.500 0.000 0.000
0.000 0.000 0.500
0.500 0.500 0.500
```

Results
DOS(E_F), states/eV/cell: 7.32

=====

Most stable of them? #w.

=====

#w
AsRuWSe2 | GGA-PBE | optimized geometry

POSCAR file:
```
AsRuWSe2
1.0
-3.579 2.867 1.284
0.600 -1.287 4.546
3.003 3.484 0.590
Ru As Se W
1 1 2 1
Direct
0.000 0.000 0.000
0.000 0.000 0.500
0.000 0.500 0.000
0.500 0.000 0.000
0.500 0.500 0.500
```

Results
DOS(E_F), states/eV/cell: 8.91

=====

#x
AsRuWSe2 | GGA-PBE | optimized geometry

POSCAR file:
```
AsRuWSe2
1.0
-1.145 -4.720 0.388
0.813 -0.589 -4.767
4.722 -1.069 0.938
Ru As Se W
1 1 2 1
Direct
0.500 0.500 0.500
0.000 0.000 0.500
0.000 0.500 0.000
0.500 0.000 0.000
0.000 0.000 0.000
```

Results
DOS(E_F), states/eV/cell: 5.64

=====

Most stable of them? #x.

=====

#w
YAsRuSe2 | GGA-PBE | optimized geometry

POSCAR file:
```
YAsRuSe2
1.0
5.359 0.000 0.000
0.000 5.359 0.000
0.000 0.000 5.440
Y Ru As Se
1 1 1 2
Direct
0.000 0.000 0.000
0.500 0.500 0.500
0.000 0.000 0.500
0.000 0.500 0.000
0.500 0.000 0.000
```

Results
DOS(E_F), states/eV/cell: 6.13

=====

#x
YAsRuSe2 | GGA-PBE | optimized geometry

POSCAR file:
```
YAsRuSe2
1.0
-1.267 -4.892 0.751
4.564 -1.454 -1.776
1.686 0.203 4.167
Y Ru As Se
1 1 1 2
Direct
0.500 0.500 0.500
0.000 0.000 0.000
0.000 0.000 0.500
0.000 0.500 0.000
0.500 0.000 0.000
```

Results
DOS(E_F), states/eV/cell: 3.12

=====

Most stable of them? #x.

=====

#w
ZnAsRuSe2 | GGA-PBE | optimized geometry

POSCAR file:
```
ZnAsRuSe2
1.0
-3.700 2.282 -2.522
-3.398 -2.341 2.868
0.117 3.508 3.002
Ru As Zn Se
1 1 1 2
Direct
0.000 0.000 0.000
0.000 0.000 0.500
0.500 0.500 0.500
0.000 0.500 0.000
0.500 0.000 0.000
```

Results
DOS(E_F), states/eV/cell: 6.62

=====

#x
ZnAsRuSe2 | GGA-PBE | optimized geometry

POSCAR file:
```
ZnAsRuSe2
1.0
4.801 0.000 0.000
0.000 4.801 0.000
0.000 0.000 4.624
Ru As Zn Se
1 1 1 2
Direct
0.500 0.500 0.500
0.000 0.000 0.500
0.000 0.000 0.000
0.000 0.500 0.000
0.500 0.000 0.000
```

Results
DOS(E_F), states/eV/cell: 4.66

=====

Most stable of them? #w.

=====

#w
ZnAs2RuSe | GGA-PBE | optimized geometry

POSCAR file:
```
ZnAs2RuSe
1.0
-3.932 1.957 1.647
0.363 -2.564 3.912
2.626 3.532 2.071
Ru As Zn Se
1 2 1 1
Direct
0.500 0.500 0.500
0.000 0.500 0.000
0.500 0.000 0.000
0.000 0.000 0.000
0.000 0.000 0.500
```

Results
DOS(E_F), states/eV/cell: 5.99

=====

#x
ZnAs2RuSe | GGA-PBE | optimized geometry

POSCAR file:
```
ZnAs2RuSe
1.0
-4.405 1.228 -0.701
-1.278 -4.439 0.253
-0.720 0.516 5.423
Ru As Zn Se
1 2 1 1
Direct
0.000 0.000 0.000
0.000 0.500 0.000
0.500 0.000 0.000
0.500 0.500 0.500
0.000 0.000 0.500
```

Results
DOS(E_F), states/eV/cell: 3.01

=====

Most stable of them? #x.

=====

#w
ZrAsRuSe2 | GGA-PBE | optimized geometry

POSCAR file:
```
ZrAsRuSe2
1.0
-0.941 0.122 4.838
0.660 -4.879 0.251
4.450 0.646 0.849
Ru As Se Zr
1 1 2 1
Direct
0.000 0.000 0.000
0.000 0.000 0.500
0.000 0.500 0.000
0.500 0.000 0.000
0.500 0.500 0.500
```

Results
DOS(E_F), states/eV/cell: 5.20

=====

#x
ZrAsRuSe2 | GGA-PBE | optimized geometry

POSCAR file:
```
ZrAsRuSe2
1.0
-3.537 3.641 -0.810
-3.513 -2.877 2.410
1.269 2.239 4.522
Ru As Se Zr
1 1 2 1
Direct
0.500 0.500 0.500
0.000 0.000 0.500
0.000 0.500 0.000
0.500 0.000 0.000
0.000 0.000 0.000
```

Results
DOS(E_F), states/eV/cell: 5.79

=====

Most stable of them? #w.

=====

#w
SiTeAsRu2 | GGA-PBE | optimized geometry

POSCAR file:
```
SiTeAsRu2
1.0
4.558 0.000 0.000
0.000 4.558 0.000
0.000 0.000 5.546
Ru As Te Si
2 1 1 1
Direct
0.000 0.500 0.000
0.500 0.000 0.000
0.000 0.000 0.000
0.000 0.000 0.500
0.500 0.500 0.500
```

Results
DOS(E_F), states/eV/cell: 6.13

=====

#x
SiTeAsRu2 | GGA-PBE | optimized geometry

POSCAR file:
```
SiTeAsRu2
1.0
-3.188 3.065 2.023
-2.127 -3.857 2.491
3.051 0.719 3.718
Ru As Te Si
2 1 1 1
Direct
0.000 0.000 0.500
0.500 0.000 0.000
0.500 0.500 0.500
0.000 0.000 0.000
0.000 0.500 0.000
```

Results
DOS(E_F), states/eV/cell: 5.83

=====

Most stable of them? #w.

=====

#w
SnAsRu2 | GGA-PBE | optimized geometry

POSCAR file:
```
SnAsRu2
1.0
-1.017 -3.515 1.377
1.110 -3.237 -1.891
4.472 -2.409 2.706
Sn As Ru
1 1 2
Direct
0.497 0.497 0.510
0.672 0.672 0.983
0.065 0.065 0.805
0.266 0.266 0.202
```

Results
DOS(E_F), states/eV/cell: 3.17

=====

#x
SnAsRu2 | GGA-PBE | optimized geometry

POSCAR file:
```
SnAsRu2
1.0
5.857 0.000 0.000
0.000 5.857 0.000
2.929 2.929 5.395
Ru As Sn
4 2 2
Direct
0.588 0.125 0.250
0.162 0.625 0.250
0.375 0.412 0.750
0.875 0.838 0.750
0.500 0.500 0.000
0.250 0.750 0.500
0.000 0.000 0.000
0.750 0.250 0.500
```

Results
DOS(E_F), states/eV/cell: 7.34

=====

#y
SnAsRu2 | GGA-PBE | optimized geometry

POSCAR file:
```
SnAsRu2
1.0
0.820 0.995 4.302
-2.852 -1.342 3.199
1.203 -3.243 2.865
Ru As Sn
2 1 1
Direct
0.250 0.250 0.250
0.750 0.750 0.750
0.000 0.000 0.000
0.500 0.500 0.500
```

Results
DOS(E_F), states/eV/cell: 3.34

=====

Most stable of them? #w.

=====

#w
SrAsRu3 | GGA-PBE | optimized geometry

POSCAR file:
```
SrAsRu3
1.0
4.906 0.000 0.000
0.000 4.906 0.000
0.000 0.000 4.906
Ru As Sr
3 1 1
Direct
0.000 0.500 0.000
0.000 0.000 0.500
0.500 0.000 0.000
0.500 0.500 0.500
0.000 0.000 0.000
```

Results
DOS(E_F), states/eV/cell: 9.82

=====

#x
SrAsRu3 | GGA-PBE | optimized geometry

POSCAR file:
```
SrAsRu3
1.0
4.651 0.000 0.000
0.000 4.651 0.000
0.000 0.000 4.651
Ru As Sr
3 1 1
Direct
0.000 0.500 0.000
0.000 0.000 0.500
0.500 0.000 0.000
0.000 0.000 0.000
0.500 0.500 0.500
```

Results
DOS(E_F), states/eV/cell: 7.72

=====

Most stable of them? #x.